{"formula": "LaNd6Sm3", "functional": "PBE", "state": "relaxed", "cell": [[-4.1541, -4.8681, 0.7942], [4.5678, -5.3238, -8.7409], [3.9573, -1.6885, 10.3489]], "species": ["La", "La", "Nd", "Nd", "Nd", "Nd", "Nd", "Nd", "Nd", "Nd", "Nd", "Nd", "Nd", "Nd", "Sm", "Sm", "Sm", "Sm", "Sm", "Sm"], "fractional_positions": [[0.0990, 0.1886, 0.8114], [0.5990, 0.8114, 0.1886], [0.0529, 0.7081, 0.6277], [0.5529, 0.6277, 0.7081], [0.3778, 0.5300, 0.9464], [0.8778, 0.9464, 0.5300], [0.3647, 0.9642, 0.0358], [0.6441, 0.2822, 0.7178], [0.1441, 0.7178, 0.2822], [0.8647, 0.0358, 0.9642], [0.3778, 0.0536, 0.4700], [0.8778, 0.4700, 0.0536], [0.0529, 0.3723, 0.2919], [0.5529, 0.2919, 0.3723], [0.4620, 0.9409, 0.7073], [0.9620, 0.7073, 0.9409], [0.0921, 0.3826, 0.6174], [0.5921, 0.6174, 0.3826], [0.9620, 0.0591, 0.2927], [0.4620, 0.2927, 0.0591]], "energy_ev_per_atom": -4.638, "e_form_ev_per_fu": 1.31, "de_polymorph_mev_per_atom": 0, "space_group": "Cmc2_1 (36)", "dos_ef_per_ev_cell": 28.288, "magmom_total_mub_per_fu": 0.00}

{"formula": "Be3MoC", "functional": "PBE", "state": "relaxed", "cell": [[3.5974, 0.0000, 0.0000], [0.0000, 3.5974, 0.0000], [0.0000, 0.0000, 3.5974]], "species": ["Be", "Be", "Be", "Mo", "C"], "fractional_positions": [[0.0000, 0.5000, 0.0000], [0.0000, 0.0000, 0.5000], [0.5000, 0.0000, 0.0000], [0.5000, 0.5000, 0.5000], [0.0000, 0.0000, 0.0000]], "energy_ev_per_atom": -5.652, "e_form_ev_per_fu": 2.97, "de_polymorph_mev_per_atom": 0, "space_group": "Pm-3m (221)", "dos_ef_per_ev_cell": 4.778, "magmom_total_mub_per_fu": 0.00}

{"formula": "YWN3", "functional": "PBE", "state": "relaxed", "cell": [[-0.8650, -0.9057, -3.2964], [1.0284, -3.3117, 0.6400], [-9.7244, -4.5281, 1.9099]], "species": ["Y", "Y", "W", "W", "N", "N", "N", "N", "N", "N"], "fractional_positions": [[0.0000, 0.0000, 0.0000], [0.2500, 0.7500, 0.5000], [0.6313, 0.1313, 0.7374], [0.8687, 0.3687, 0.2626], [0.2123, 0.8998, 0.2004], [0.1002, 0.7877, 0.7996], [0.1002, 0.4126, 0.7996], [0.5874, 0.8998, 0.2004], [0.3179, 0.3179, 0.3641], [0.6821, 0.6821, 0.6359]], "energy_ev_per_atom": -9.169, "space_group": "I-4m2 (119)", "dos_ef_per_ev_cell": 2.036, "magmom_total_mub_per_fu": 0.00}

{"formula": "PuSi2Mo", "functional": "PBE", "state": "relaxed", "cell": [[-0.7822, 1.8213, 3.1667], [-6.5758, 2.2451, -2.9155], [-4.5185, -8.4056, 3.7184]], "species": ["Pu", "Pu", "Pu", "Pu", "Si", "Si", "Si", "Si", "Si", "Si", "Si", "Si", "Mo", "Mo", "Mo", "Mo"], "fractional_positions": [[0.7500, 0.8616, 0.1400], [0.2500, 0.1384, 0.8600], [0.7500, 0.3616, 0.3600], [0.2500, 0.6384, 0.6400], [0.7500, 0.8403, 0.8120], [0.2500, 0.1597, 0.1880], [0.7500, 0.3403, 0.6880], [0.2500, 0.6597, 0.3120], [0.7500, 0.7580, 0.4387], [0.2500, 0.7420, 0.9387], [0.7500, 0.2580, 0.0613], [0.2500, 0.2420, 0.5613], [0.2500, 0.4874, 0.1008], [0.2500, 0.9874, 0.3992], [0.7500, 0.5126, 0.8992], [0.7500, 0.0126, 0.6008]], "energy_ev_per_atom": -9.430, "de_polymorph_mev_per_atom": 0, "space_group": "Pnma (62)", "dos_ef_per_ev_cell": 41.319, "magmom_total_mub_per_fu": 5.10}

{"formula": "AcCe2Hg7", "functional": "PBE", "state": "relaxed", "cell": [[-3.7602, 3.5754, -0.7899], [-1.0893, -4.4212, 2.6102], [2.9628, 5.4159, 10.4101]], "species": ["Ac", "Ce", "Ce", "Hg", "Hg", "Hg", "Hg", "Hg", "Hg", "Hg"], "fractional_positions": [[0.0000, 0.0000, 0.0335], [0.3333, 0.6667, 0.6117], [0.6667, 0.3333, 0.3735], [0.6667, 0.3333, 0.6344], [0.6667, 0.3333, 0.8787], [0.0000, 0.0000, 0.7417], [0.0000, 0.0000, 0.4772], [0.3333, 0.6667, 0.2382], [0.3333, 0.6667, 0.8982], [0.6667, 0.3333, 0.1296]], "energy_ev_per_atom": -2.061, "e_form_ev_per_fu": -2.52, "space_group": "P3m1 (156)", "dos_ef_per_ev_cell": 18.224, "magmom_total_mub_per_fu": 2.31}

{"formula": "Sr2MnMo", "functional": "PBE", "state": "relaxed", "cell": [[-2.8230, 1.9877, -0.1272], [-0.8576, -1.4121, -3.0342], [-4.9009, -6.6731, 4.4909]], "species": ["Mn", "Mo", "Sr", "Sr"], "fractional_positions": [[0.0000, 0.0000, 0.5824], [0.5000, 0.5000, 0.6631], [0.0000, 0.0000, 0.9296], [0.5000, 0.5000, 0.3249]], "energy_ev_per_atom": -5.292, "e_form_ev_per_fu": 2.20, "de_polymorph_mev_per_atom": 82, "space_group": "P4mm (99)", "dos_ef_per_ev_cell": 4.236, "magmom_total_mub_per_fu": 1.45}

{"formula": "HfZr2P", "functional": "PBE", "state": "relaxed", "cell": [[-2.7312, -1.8288, -1.4798], [0.1810, -1.0673, 5.3769], [-5.1793, 6.5430, 1.4732]], "species": ["Hf", "Hf", "Zr", "Zr", "Zr", "Zr", "P", "P"], "fractional_positions": [[0.9364, 0.8725, 0.2500], [0.0636, 0.1275, 0.7500], [0.3623, 0.7244, 0.5437], [0.6377, 0.2756, 0.4563], [0.3623, 0.7244, 0.9563], [0.6377, 0.2756, 0.0437], [0.7680, 0.5359, 0.7500], [0.2320, 0.4641, 0.2500]], "energy_ev_per_atom": -8.904, "e_form_ev_per_fu": -3.15, "space_group": "Cmcm (63)", "dos_ef_per_ev_cell": 9.023, "magmom_total_mub_per_fu": 0.00}

{"formula": "RbYGa2", "functional": "PBE", "state": "relaxed", "cell": [[8.5965, 0.0000, 0.0000], [0.0000, 8.5965, 0.0000], [4.2982, 4.2982, 3.6430]], "species": ["Y", "Y", "Ga", "Ga", "Ga", "Ga", "Rb", "Rb"], "fractional_positions": [[0.0000, 0.0000, 0.0000], [0.7500, 0.2500, 0.5000], [0.6738, 0.1250, 0.2500], [0.0762, 0.6250, 0.2500], [0.3750, 0.3262, 0.7500], [0.8750, 0.9238, 0.7500], [0.5000, 0.5000, 0.0000], [0.2500, 0.7500, 0.5000]], "energy_ev_per_atom": -3.064, "e_form_ev_per_fu": 1.23, "de_polymorph_mev_per_atom": 205, "space_group": "I-42d (122)", "dos_ef_per_ev_cell": 1.063, "magmom_total_mub_per_fu": 0.00}

{"formula": "TbAg2Au", "functional": "PBE", "state": "relaxed", "cell": [[4.2208, -0.4382, 0.0000], [-1.5921, 5.2573, 0.0000], [0.0000, 0.0000, 8.0250]], "species": ["Tb", "Tb", "Ag", "Ag", "Ag", "Ag", "Au", "Au"], "fractional_positions": [[0.0630, 0.1272, 0.2500], [0.9370, 0.8728, 0.7500], [0.3689, 0.7390, 0.0557], [0.3689, 0.7390, 0.4443], [0.6311, 0.2610, 0.9443], [0.6311, 0.2610, 0.5557], [0.7680, 0.5380, 0.2500], [0.2320, 0.4620, 0.7500]], "energy_ev_per_atom": -3.796, "e_form_ev_per_fu": -1.58, "de_polymorph_mev_per_atom": 34, "space_group": "P2_1/m (11)", "dos_ef_per_ev_cell": 4.659, "magmom_total_mub_per_fu": 0.00}

{"formula": "Si4AgSe", "functional": "PBE", "state": "relaxed", "cell": [[0.0000, 3.7274, 3.7274], [3.7274, 0.0000, 3.7274], [3.7274, 3.7274, 0.0000]], "species": ["Si", "Si", "Si", "Si", "Ag", "Se"], "fractional_positions": [[0.8736, 0.3755, 0.3755], [0.3755, 0.3755, 0.8736], [0.3755, 0.8736, 0.3755], [0.3755, 0.3755, 0.3755], [0.7500, 0.7500, 0.7500], [0.0000, 0.0000, 0.0000]], "energy_ev_per_atom": -4.078, "space_group": "F-43m (216)", "dos_ef_per_ev_cell": 5.239, "magmom_total_mub_per_fu": 0.00}

{"formula": "TcRh2Br", "functional": "PBE", "state": "relaxed", "cell": [[2.9226, 0.0000, 0.0000], [0.0000, 2.9226, 0.0000], [0.0000, 0.0000, 7.3428]], "species": ["Rh", "Rh", "Tc", "Br"], "fractional_positions": [[0.0000, 0.0000, 0.0089], [0.5000, 0.5000, 0.2646], [0.0000, 0.0000, 0.4905], [0.5000, 0.5000, 0.7359]], "energy_ev_per_atom": -6.176, "de_polymorph_mev_per_atom": 171, "space_group": "P4mm (99)", "dos_ef_per_ev_cell": 6.305, "magmom_total_mub_per_fu": 0.00}

{"formula": "CsSm2O", "functional": "PBE", "state": "relaxed", "cell": [[-0.3929, 3.5240, 1.0439], [-3.2932, 1.2345, 1.1371], [1.1377, -1.0174, 10.4069]], "species": ["Cs", "O", "Sm", "Sm"], "fractional_positions": [[0.0000, 0.0000, 0.0000], [0.5000, 0.5000, 0.5000], [0.1238, 0.1238, 0.6286], [0.8762, 0.8762, 0.3714]], "energy_ev_per_atom": -4.817, "space_group": "R-3m (166)", "dos_ef_per_ev_cell": 3.213, "magmom_total_mub_per_fu": 0.00}

{"formula": "Cr2RhC", "functional": "PBE", "state": "relaxed", "cell": [[2.7556, -0.2013, -0.5620], [-1.2923, 2.5007, -0.1606], [-0.0700, 0.3891, 6.5980]], "species": ["Cr", "Cr", "Rh", "C"], "fractional_positions": [[0.0568, 0.0284, 0.0852], [0.9432, 0.4716, 0.4148], [0.5000, 0.2500, 0.7500], [0.5000, 0.7500, 0.2500]], "energy_ev_per_atom": -9.039, "e_form_ev_per_fu": -0.33, "space_group": "R-3m (166)", "dos_ef_per_ev_cell": 4.085, "magmom_total_mub_per_fu": 0.00}

{"formula": "Pr3SbAsCl", "functional": "PBE", "state": "relaxed", "cell": [[4.4153, 0.0000, 0.0000], [0.0000, 8.7043, 0.5619], [0.0000, -2.8077, 9.3082]], "species": ["Pr", "Pr", "Pr", "Pr", "Pr", "Pr", "Sb", "Sb", "As", "As", "Cl", "Cl"], "fractional_positions": [[0.2500, 0.7291, 0.4913], [0.7500, 0.8947, 0.1300], [0.7500, 0.4254, 0.1516], [0.7500, 0.2709, 0.5087], [0.2500, 0.5746, 0.8484], [0.2500, 0.1053, 0.8700], [0.7500, 0.8164, 0.7748], [0.2500, 0.1836, 0.2252], [0.2500, 0.6622, 0.1603], [0.7500, 0.3378, 0.8397], [0.2500, 0.0996, 0.5808], [0.7500, 0.9004, 0.4192]], "energy_ev_per_atom": -5.463, "space_group": "P2_1/m (11)", "dos_ef_per_ev_cell": 6.222, "magmom_total_mub_per_fu": 0.77}

{"formula": "Cs4PdO2", "functional": "PBE", "state": "relaxed", "cell": [[5.5623, 0.0000, 0.0000], [2.7812, 4.8171, 0.0000], [2.7812, 1.6057, 7.8740]], "species": ["Cs", "Cs", "Cs", "Cs", "Pd", "O", "O"], "fractional_positions": [[0.3848, 0.3848, 0.8456], [0.2077, 0.2077, 0.3770], [0.7923, 0.7923, 0.6230], [0.6152, 0.6152, 0.1544], [0.0000, 0.0000, 0.0000], [0.0897, 0.0897, 0.7309], [0.9103, 0.9103, 0.2691]], "energy_ev_per_atom": -3.373, "space_group": "R-3m (166)", "magmom_total_mub_per_fu": 0.00}

{"formula": "Sm5Sn4", "functional": "PBE", "state": "relaxed", "cell": [[6.2746, 0.0000, 0.0000], [3.1373, 6.9844, 0.0000], [3.1373, 0.0000, 6.9844]], "species": ["Sm", "Sm", "Sm", "Sm", "Sm", "Sn", "Sn", "Sn", "Sn"], "fractional_positions": [[0.5000, 0.0000, 0.0000], [0.0986, 0.6049, 0.1979], [0.2965, 0.8021, 0.6049], [0.7035, 0.1979, 0.3951], [0.9014, 0.3951, 0.8021], [0.2016, 0.1993, 0.3974], [0.5991, 0.6026, 0.1993], [0.4009, 0.3974, 0.8007], [0.7984, 0.8007, 0.6026]], "energy_ev_per_atom": -4.854, "e_form_ev_per_fu": -4.08, "space_group": "I4/m (87)", "dos_ef_per_ev_cell": 8.162, "magmom_total_mub_per_fu": 0.70}

{"formula": "TlTe3", "functional": "PBE", "state": "relaxed", "cell": [[-8.4269, -4.2349, 0.0223], [1.2187, -2.3882, 7.0200], [-3.4158, 6.8124, 2.9106]], "species": ["Tl", "Tl", "Tl", "Tl", "Te", "Te", "Te", "Te", "Te", "Te", "Te", "Te", "Te", "Te", "Te", "Te"], "fractional_positions": [[0.5915, 0.9311, 0.7500], [0.0915, 0.5689, 0.2500], [0.9085, 0.4311, 0.7500], [0.4085, 0.0689, 0.2500], [0.1887, 0.9168, 0.7500], [0.6887, 0.5832, 0.2500], [0.3113, 0.4168, 0.7500], [0.8113, 0.0832, 0.2500], [0.6476, 0.2974, 0.0004], [0.1476, 0.2026, 0.9996], [0.8524, 0.7974, 0.4996], [0.3524, 0.7026, 0.5004], [0.3524, 0.7026, 0.9996], [0.8524, 0.7974, 0.0004], [0.1476, 0.2026, 0.5004], [0.6476, 0.2974, 0.4996]], "energy_ev_per_atom": -2.983, "space_group": "Pnma (62)", "dos_ef_per_ev_cell": 5.811, "magmom_total_mub_per_fu": 0.00}

{"formula": "TaGaNF2", "functional": "PBE", "state": "relaxed", "cell": [[-0.2334, 1.7603, -3.8698], [3.5223, -2.0902, -1.1632], [-2.2510, -3.0874, -1.2686]], "species": ["N", "F", "F", "Ga", "Ta"], "fractional_positions": [[0.0000, 0.0000, 0.5000], [0.0000, 0.5000, 0.0000], [0.5000, 0.0000, 0.0000], [0.5000, 0.5000, 0.5000], [0.0000, 0.0000, 0.0000]], "energy_ev_per_atom": -6.680, "de_polymorph_mev_per_atom": 0, "space_group": "P4/mmm (123)", "dos_ef_per_ev_cell": 1.228, "magmom_total_mub_per_fu": 0.87}